# 1
An optimized crystal structure of Zr3Ga2Hg2. Source: OQMD via LeMat-Bulk, functional PBE.

Cell and atoms, written as CIF:
```
data_Zr3Ga2Hg2
_space_group_name_H-M_alt 'R 3 m'
_space_group_IT_number 160
_space_group_name_Hall 'R 3 -2"'
_cell_length_a 4.7555
_cell_length_b 4.7555
_cell_length_c 23.8647
_cell_angle_alpha 90.00
_cell_angle_beta 90.00
_cell_angle_gamma 120.00
loop_
_atom_site_label
_atom_site_type_symbol
_atom_site_fract_x
_atom_site_fract_y
_atom_site_fract_z
Zr1 Zr 0.0000 0.0000 0.0000
Zr2 Zr 0.0000 0.0000 0.2482
Zr3 Zr 0.0000 0.0000 0.7499
Ga1 Ga 0.0000 0.0000 0.3752
Ga2 Ga 0.0000 0.0000 0.8706
Hg1 Hg 0.0000 0.0000 0.1300
Hg2 Hg 0.0000 0.0000 0.6134
```

## Properties
The total energy is -4.748 eV/atom. The value obtained for the volume is 22.26 Å³/atom.

# 2
An optimized crystal structure of HoGa3. Source: OQMD via LeMat-Bulk, functional PBE.

Cell and atoms, written as CIF:
```
data_HoGa3
_space_group_name_H-M_alt 'C m c m'
_space_group_IT_number 63
_space_group_name_Hall '-C 2c 2'
_cell_length_a 6.2488
_cell_length_b 10.8131
_cell_length_c 4.5439
_cell_angle_alpha 90.00
_cell_angle_beta 90.00
_cell_angle_gamma 90.00
loop_
_atom_site_label
_atom_site_type_symbol
_atom_site_fract_x
_atom_site_fract_y
_atom_site_fract_z
Ho1 Ho 0.0000 0.1665 0.2500
Ga1 Ga 0.0000 0.3515 0.7500
Ga2 Ga 0.2233 0.4252 0.2500
```

## Properties
The total energy is -3.939 eV/atom. The value obtained for the volume is 19.19 Å³/atom.